! Rb3BiH | Alexandria via LeMat-Bulk | SCAN | single point on PBEsol structure; values from VASP
! - crystal system = cubic
! - total energy (eV per atom) = -29.1512
&SYSTEM
  ibrav = 0, nat = 5, ntyp = 3
/
ATOMIC_SPECIES
Bi 208.98 Bi.upf
Rb 85.47 Rb.upf
H 1.01 H.upf
CELL_PARAMETERS angstrom
5.676 0.000 0.000
0.000 5.676 0.000
0.000 0.000 5.676
ATOMIC_POSITIONS crystal
Bi 0.500 0.500 0.500
Rb 0.500 0.000 0.000
Rb 0.000 0.000 0.500
Rb 0.000 0.500 0.000
H 0.000 0.000 0.000

=====

! K2CaBe | Alexandria via LeMat-Bulk | SCAN | single point on PBEsol structure; values from VASP
! - formation enthalpy at 0 K (meV/atom) = 523
! - crystal system = trigonal
&SYSTEM
  ibrav = 0, nat = 4, ntyp = 3
/
ATOMIC_SPECIES
Ca 40.08 Ca.upf
K 39.10 K.upf
Be 9.01 Be.upf
CELL_PARAMETERS angstrom
-3.730 -2.112 0.396
-1.298 -1.370 3.869
-7.029 8.604 3.083
ATOMIC_POSITIONS crystal
Ca 0.221 0.221 0.338
K 0.991 0.991 0.028
K 0.779 0.779 0.663
Be 0.510 0.510 0.471

=====

! TlCoTe2 | Alexandria via LeMat-Bulk | SCAN | single point on PBEsol structure; values from VASP
! - energy relative to the elements, uncorrected (eV/atom) = 0.4592
! - crystal system = cubic
&SYSTEM
  ibrav = 0, nat = 4, ntyp = 3
/
ATOMIC_SPECIES
Tl 204.38 Tl.upf
Te 127.60 Te.upf
Co 58.93 Co.upf
CELL_PARAMETERS angstrom
5.090 0.000 0.000
2.545 4.408 0.000
2.545 1.469 4.156
ATOMIC_POSITIONS crystal
Tl 0.000 0.000 0.000
Te 0.250 0.250 0.250
Co 0.500 0.500 0.500
Te 0.750 0.750 0.750

=====

! Hf3InS | Alexandria via LeMat-Bulk | SCAN | single point on PBEsol structure; values from VASP
! - energy relative to the elements, uncorrected (eV/atom) = -0.3961
! - crystal system = cubic
&SYSTEM
  ibrav = 0, nat = 5, ntyp = 3
/
ATOMIC_SPECIES
Hf 178.49 Hf.upf
S 32.06 S.upf
In 114.82 In.upf
CELL_PARAMETERS angstrom
4.714 0.000 0.000
0.000 4.714 0.000
0.000 0.000 4.714
ATOMIC_POSITIONS crystal
Hf 0.000 0.500 0.000
S 0.000 0.000 0.000
Hf 0.000 0.000 0.500
In 0.500 0.500 0.500
Hf 0.500 0.000 0.000

=====

! Nb3GeS6 | Alexandria via LeMat-Bulk | SCAN | single point on PBEsol structure; values from VASP
! - energy relative to the elements, uncorrected (eV/atom) = -1.0750
! - crystal system = hexagonal
&SYSTEM
  ibrav = 0, nat = 20, ntyp = 3
/
ATOMIC_SPECIES
Nb 92.91 Nb.upf
S 32.06 S.upf
Ge 72.64 Ge.upf
CELL_PARAMETERS angstrom
-0.356 5.709 0.572
-3.245 -2.706 -3.898
-9.739 -1.527 9.169
ATOMIC_POSITIONS crystal
Nb 0.333 0.667 0.250
S 0.000 0.665 0.366
Ge 0.000 0.000 0.000
Nb 0.000 0.000 0.750
S 0.000 0.665 0.134
S 0.665 0.665 0.866
S 0.000 0.335 0.634
Nb 0.667 0.333 0.750
S 0.335 0.335 0.134
S 0.335 0.000 0.866
S 0.335 0.000 0.634
Nb 0.000 0.000 0.250
Ge 0.000 0.000 0.500
S 0.000 0.335 0.866
Nb 0.333 0.667 0.750
S 0.665 0.000 0.366
Nb 0.667 0.333 0.250
S 0.335 0.335 0.366
S 0.665 0.665 0.634
S 0.665 0.000 0.134

=====

! CoW | Alexandria via LeMat-Bulk | SCAN | single point on PBEsol structure; values from VASP
! - formation enthalpy at 0 K (meV/atom) = 650
! - crystal system = hexagonal
&SYSTEM
  ibrav = 0, nat = 4, ntyp = 2
/
ATOMIC_SPECIES
Co 58.93 Co.upf
W 183.84 W.upf
CELL_PARAMETERS angstrom
-1.006 3.503 0.508
-0.140 -1.485 -3.364
-4.475 -1.402 0.805
ATOMIC_POSITIONS crystal
Co 0.000 0.000 0.500
W 0.667 0.333 0.750
W 0.333 0.667 0.250
Co 0.000 0.000 0.000

=====

! ZnNi2 | Alexandria via LeMat-Bulk | SCAN | single point on PBEsol structure; values from VASP
! - formation enthalpy at 0 K (meV/atom) = -43
! - crystal system = hexagonal
&SYSTEM
  ibrav = 0, nat = 9, ntyp = 2
/
ATOMIC_SPECIES
Ni 58.69 Ni.upf
Zn 65.41 Zn.upf
CELL_PARAMETERS angstrom
2.482 0.000 0.000
0.000 6.825 0.000
0.000 -3.412 5.911
ATOMIC_POSITIONS crystal
Ni 0.000 0.000 0.305
Zn 0.500 0.000 0.000
Ni 0.000 0.305 0.000
Zn 0.000 0.667 0.333
Zn 0.000 0.333 0.667
Ni 0.500 0.639 0.000
Ni 0.000 0.695 0.695
Ni 0.500 0.361 0.361
Ni 0.500 0.000 0.639

=====

! IrPbCl2 | Alexandria via LeMat-Bulk | SCAN | single point on PBEsol structure; values from VASP
! - excess energy over the best structure of this formula in the dataset (meV per atom) = 75
! - energy relative to the elements, uncorrected (eV/atom) = 0.2381
! - crystal system = tetragonal
&SYSTEM
  ibrav = 0, nat = 4, ntyp = 3
/
ATOMIC_SPECIES
Cl 35.45 Cl.upf
Ir 192.22 Ir.upf
Pb 207.20 Pb.upf
CELL_PARAMETERS angstrom
3.449 0.000 0.000
0.000 3.449 0.000
0.000 0.000 6.835
ATOMIC_POSITIONS crystal
Cl 0.500 0.500 0.335
Cl 0.000 0.000 0.029
Ir 0.000 0.000 0.398
Pb 0.500 0.500 0.738

=====

! ZrAgSb2 | Alexandria via LeMat-Bulk | SCAN | single point on PBEsol structure; values from VASP
! - energy relative to the elements, uncorrected (eV/atom) = -0.2809
! - crystal system = monoclinic
&SYSTEM
  ibrav = 0, nat = 4, ntyp = 3
/
ATOMIC_SPECIES
Sb 121.76 Sb.upf
Zr 91.22 Zr.upf
Ag 107.87 Ag.upf
CELL_PARAMETERS angstrom
3.261 0.000 -0.009
0.000 4.856 0.000
-1.627 0.000 5.538
ATOMIC_POSITIONS crystal
Sb 0.019 0.000 0.913
Zr 0.296 0.000 0.466
Sb 0.724 0.500 0.321
Ag 0.461 0.500 0.799

=====

! LiMg2Zn | Alexandria via LeMat-Bulk | SCAN | single point on PBEsol structure; values from VASP
! - formation enthalpy at 0 K (meV/atom) = -93
! - crystal system = monoclinic
&SYSTEM
  ibrav = 0, nat = 4, ntyp = 3
/
ATOMIC_SPECIES
Li 6.94 Li.upf
Zn 65.41 Zn.upf
Mg 24.30 Mg.upf
CELL_PARAMETERS angstrom
2.987 0.000 -0.038
0.000 4.506 0.000
-1.434 0.000 5.429
ATOMIC_POSITIONS crystal
Li 0.440 0.500 0.749
Zn 0.309 0.000 0.497
Mg 0.046 0.000 0.964
Mg 0.705 0.500 0.290

=====

! Al2CoBr | Alexandria via LeMat-Bulk | SCAN | single point on PBEsol structure; values from VASP
! - excess energy over the best structure of this formula in the dataset (meV per atom) = 1015
! - energy relative to the elements, uncorrected (eV/atom) = 0.8034
! - crystal system = cubic
&SYSTEM
  ibrav = 0, nat = 4, ntyp = 3
/
ATOMIC_SPECIES
Co 58.93 Co.upf
Al 26.98 Al.upf
Br 79.90 Br.upf
CELL_PARAMETERS angstrom
4.514 0.000 0.000
2.257 3.910 0.000
2.257 1.303 3.686
ATOMIC_POSITIONS crystal
Co 0.750 0.750 0.750
Al 0.250 0.250 0.250
Br 0.500 0.500 0.500
Al 0.000 0.000 0.000

=====

! SrYSi2 | Alexandria via LeMat-Bulk | SCAN | single point on PBEsol structure; values from VASP
! - excess energy over the best structure of this formula in the dataset (meV per atom) = 67
! - energy relative to the elements, uncorrected (eV/atom) = -0.3883
! - crystal system = monoclinic
&SYSTEM
  ibrav = 0, nat = 4, ntyp = 3
/
ATOMIC_SPECIES
Si 28.09 Si.upf
Y 88.91 Y.upf
Sr 87.62 Sr.upf
CELL_PARAMETERS angstrom
3.928 0.000 0.000
1.964 4.922 -0.003
1.964 1.249 5.651
ATOMIC_POSITIONS crystal
Si 0.746 0.111 0.398
Si 0.254 0.889 0.602
Y 0.000 0.500 0.500
Sr 0.500 0.000 0.000

=====

Q: Which formula does entry 6 have?
A: CoW